[1]
DFT (PBE) results for crystalline BaSr3Br8 at its relaxed geometry.

SG   R-3m (166)
Volume   495.5 Å³/f.u.
Total magnetic moment   0.0 μB/f.u.
Total energy   -3.81 eV per atom

Unit cell a=9.4870 b=9.4855 c=8.3931 alpha=124.42 beta=90.00 gamma=120.01
Positions (direct):
Ba1 0.0000 0.0000 0.0000
Sr1 0.5000 0.0000 0.0000
Sr2 0.5000 0.5000 0.0000
Sr3 0.0000 0.5000 0.0000
Br1 0.2533 0.5065 0.7600
Br2 0.7467 0.4935 0.2400
Br3 0.2676 0.0135 0.7595
Br4 0.7459 0.0135 0.7595
Br5 0.7458 0.4916 0.7594
Br6 0.2542 0.5084 0.2406
Br7 0.2541 0.9865 0.2405
Br8 0.7324 0.9865 0.2405

=====

[2]
DFT (PBE) results for crystalline AcBiAu2O8 at its relaxed geometry.

SG   I-4 (82)
Volume   172.3 Å³/f.u.
Total magnetic moment   2.1 μB/f.u.
Total energy   -5.23 eV per atom

Unit cell a=5.6650 b=5.6650 c=6.6985 alpha=115.01 beta=115.01 gamma=90.00
Each line ends with the local moment (μB).
Positions (direct):
Ac1 0.0000 0.0000 0.0000  0.02
Bi1 0.7500 0.2500 0.5000  -0.01
Au1 0.5000 0.5000 0.0000  0.25
Au2 0.2500 0.7500 0.5000  0.00
O1 0.6346 0.8712 0.0795  0.37
O2 0.4448 0.2083 0.0795  0.37
O3 0.6014 0.6338 0.5710  0.02
O4 0.9696 0.9371 0.5710  0.02
O5 0.0629 0.3986 0.4290  0.02
O6 0.3662 0.0304 0.4290  0.02
O7 0.1288 0.5552 0.9205  0.37
O8 0.7917 0.3654 0.9205  0.37

=====

[3]
DFT (PBE) results for crystalline Cr2GaHgPd at its relaxed geometry.

SG   P4/mmm (123)
Volume   133.1 Å³/f.u.
E_form   1212 meV per atom
Total magnetic moment   9.3 μB/f.u.
Total energy   -4.34 eV per atom

Unit cell a=5.1186 b=5.0820 c=5.1186 alpha=90.00 beta=90.00 gamma=90.00
Each line ends with the local moment (μB).
Positions (direct):
Cr1 0.0000 0.0000 0.5000  4.07
Cr2 0.5000 0.0000 0.0000  3.89
Ga1 0.5000 0.5000 0.5000  0.02
Hg1 0.0000 0.0000 0.0000  0.10
Pd1 0.0000 0.5000 0.0000  0.09

=====

[4]
DFT (PBE) results for crystalline CsNa2TlAu at its relaxed geometry.

SG   P4/mmm (123)
Volume   196.9 Å³/f.u.
E_form   -112 meV per atom
Total magnetic moment   0.0 μB/f.u.
Total energy   -1.94 eV per atom

Unit cell a=5.8355 b=5.8355 c=5.7824 alpha=90.00 beta=90.00 gamma=90.00
Positions (direct):
Cs1 0.5000 0.5000 0.5000
Na1 0.0000 0.5000 0.0000
Na2 0.5000 0.0000 0.0000
Tl1 0.0000 0.0000 0.5000
Au1 0.0000 0.0000 0.0000

=====

[5]
DFT (PBE) results for crystalline Sr2TlPb at its relaxed geometry.

SG   R3m (160)
Volume   173.0 Å³/f.u.
E_form   -230 meV per atom
Total magnetic moment   0.0 μB/f.u.
Total energy   -2.59 eV per atom

Unit cell a=8.4553 b=8.4553 c=8.4553 alpha=34.50 beta=34.50 gamma=34.50
Positions (direct):
Pb1 0.7675 0.7675 0.7675
Sr1 0.0301 0.0301 0.0301
Sr2 0.2166 0.2166 0.2166
Tl1 0.4857 0.4857 0.4857

=====

[6]
DFT (PBE) results for crystalline PRhBr2 at its relaxed geometry.

SG   P4/mmm (123)
Volume   75.6 Å³/f.u.
Total magnetic moment   0.0 μB/f.u.
Total energy   -3.17 eV per atom

Unit cell a=3.3245 b=3.3248 c=6.8372 alpha=90.00 beta=90.00 gamma=90.00
Positions (direct):
Br1 0.0000 0.0000 0.9849
Br2 0.0000 0.0000 0.5151
P1 0.5000 0.5000 0.2500
Rh1 0.5000 0.5000 0.7500

=====

[7]
DFT (PBE) results for crystalline Cs2CeNd2O6 at its relaxed geometry.

SG   C2/m (12)
Volume   242.9 Å³/f.u.
Total magnetic moment   0.0 μB/f.u.
Total energy   -7.05 eV per atom

Unit cell a=6.3035 b=6.3035 c=7.3480 alpha=98.11 beta=98.11 gamma=119.89
Positions (direct):
Cs1 0.8329 0.1671 0.0000
Cs2 0.1671 0.8329 0.0000
Ce1 0.0000 0.0000 0.5000
Nd1 0.3343 0.6657 0.5000
Nd2 0.6657 0.3343 0.5000
O1 0.7393 0.7393 0.6569
O2 0.0456 0.3721 0.6573
O3 0.2607 0.2607 0.3431
O4 0.3721 0.0456 0.6573
O5 0.9544 0.6279 0.3427
O6 0.6279 0.9544 0.3427

=====

[8]
DFT (PBE) results for crystalline Mn3BeRe at its relaxed geometry.

SG   Pm-3m (221)
Volume   93.6 Å³/f.u.
E_form   1614 meV per atom
Total magnetic moment   7.4 μB/f.u.
Total energy   -7.12 eV per atom

Unit cell a=4.5405 b=4.5405 c=4.5405 alpha=90.00 beta=90.00 gamma=90.00
Each line ends with the local moment (μB).
Positions (direct):
Re1 0.0000 0.0000 0.0000  -0.63
Mn1 0.0000 0.5000 0.0000  2.77
Mn2 0.0000 0.0000 0.5000  2.59
Mn3 0.5000 0.0000 0.0000  2.76
Be1 0.5000 0.5000 0.5000  -0.14

=====

[9]
DFT (PBE) results for crystalline MgH6Pd8 at its relaxed geometry.

SG   P-3 (147)
Volume   157.6 Å³/f.u.
Total magnetic moment   0.0 μB/f.u.
Total energy   -4.41 eV per atom

Unit cell a=2.9070 b=7.9116 c=7.9116 alpha=120.00 beta=90.00 gamma=90.00
Positions (direct):
Mg1 0.5000 0.0000 0.0000
H1 0.6917 0.5626 0.7087
H2 0.6917 0.2913 0.8539
H3 0.6917 0.1461 0.4374
H4 0.3083 0.4374 0.2913
H5 0.3083 0.7087 0.1461
H6 0.3083 0.8539 0.5626
Pd1 0.8042 0.6642 0.9791
Pd2 0.8042 0.0209 0.6851
Pd3 0.8042 0.3149 0.3358
Pd4 0.1958 0.3358 0.0209
Pd5 0.1958 0.9791 0.3149
Pd6 0.1958 0.6851 0.6642
Pd7 0.6263 0.6667 0.3333
Pd8 0.3737 0.3333 0.6667

=====

[10]
DFT (PBE) results for crystalline AlRuBr2 at its relaxed geometry.

SG   R3m (160)
Volume   90.3 Å³/f.u.
Total magnetic moment   1.1 μB/f.u.
Total energy   -4.25 eV per atom

Unit cell a=9.4558 b=9.4558 c=9.4558 alpha=20.45 beta=20.45 gamma=20.45
Each line ends with the local moment (μB).
Positions (direct):
Ru1 0.5092 0.5092 0.5092  0.91
Al1 0.2395 0.2395 0.2395  -0.01
Br1 0.9711 0.9711 0.9711  -0.01
Br2 0.7801 0.7801 0.7801  0.18

=====

[11]
DFT (PBE) results for crystalline Rb4BaMn2 at its relaxed geometry.

SG   I4/mmm (139)
Volume   445.7 Å³/f.u.
E_form   995 meV per atom
Total magnetic moment   6.9 μB/f.u.
Total energy   -2.45 eV per atom

Unit cell a=7.0190 b=7.0190 c=10.3180 alpha=70.11 beta=70.11 gamma=90.00
Each line ends with the local moment (μB).
Positions (direct):
Mn1 0.5698 0.5698 0.8604  4.03
Mn2 0.4302 0.4302 0.1396  4.03
Ba1 0.0000 0.0000 0.0000  -0.33
Rb1 0.7657 0.7657 0.4687  -0.01
Rb2 0.2343 0.2343 0.5313  -0.01
Rb3 0.0000 0.5000 0.0000  -0.04
Rb4 0.5000 0.0000 0.0000  -0.04

=====

[12]
DFT (PBE) results for crystalline RbCo3Ru at its relaxed geometry.

SG   Pm-3m (221)
Volume   104.5 Å³/f.u.
E_form   1349 meV per atom
Total magnetic moment   5.6 μB/f.u.
Total energy   -4.96 eV per atom

Unit cell a=4.7107 b=4.7107 c=4.7107 alpha=90.00 beta=90.00 gamma=90.00
Each line ends with the local moment (μB).
Positions (direct):
Ru1 0.0000 0.0000 0.0000  0.61
Co1 0.0000 0.5000 0.0000  1.88
Co2 0.0000 0.0000 0.5000  2.14
Co3 0.5000 0.0000 0.0000  1.19
Rb1 0.5000 0.5000 0.5000  -0.03